[1]
A plane-wave DFT calculation with GGA-PBE was carried out for crystalline Nb2VCo2 at its relaxed geometry.

Summary:
The formation energy comes out at -0.03 eV per atom.

a b c (Å): 6.1161 6.1161 3.8784
angles (deg): 90.00 90.00 90.00
With the nearest neighbours (Å) after each atom.
Space group P4/mbm (No. 127)
One atom of each set of equivalent atoms:
Nb1 0.1762 0.3238 0.0000 (multiplicity 4)  6 Co 2.54-2.72
V1 0.0000 0.0000 0.5000 (multiplicity 2)  4 Co 2.39
Co1 0.1334 0.6334 0.5000 (multiplicity 4)  1 Co 2.31, 2 V 2.39, 2 Nb 2.54

---

[2]
A plane-wave DFT calculation with GGA-PBE was carried out for crystalline Nb2VCo at its relaxed geometry.

Summary:
The formation energy comes out at 0.46 eV per atom. As for the energy above the most stable polymorph in this dataset: 510 meV per atom.

a b c (Å): 2.8000 2.8000 28.2270
angles (deg): 90.00 90.00 120.00
With the nearest neighbours (Å) after each atom.
Space group R-3m (No. 166, hexagonal axes)
One atom of each set of equivalent atoms:
Nb1 0.0000 0.0000 0.0910 (multiplicity 6)  1 V 2.57, 3 Co 2.68, 6 Nb 2.80
V1 0.0000 0.0000 0.0000 (multiplicity 3)  2 Nb 2.57, 6 V 2.80
Co1 0.0000 0.0000 0.5000 (multiplicity 3)  6 Nb 2.68, 6 Co 2.80

---

[3]
A plane-wave DFT calculation with GGA-PBE was carried out for crystalline NbV5Co2 at its relaxed geometry.

Summary:
The formation energy comes out at 0.06 eV per atom.

a b c (Å): 2.8087 7.0685 10.9450
angles (deg): 90.00 90.00 90.00
With the nearest neighbours (Å) after each atom.
Space group Immm (No. 71)
One atom of each set of equivalent atoms:
Nb1 0.0000 0.0000 0.0000 (multiplicity 2)  2 Nb 2.81, 8 V 2.87, 4 Co 3.00
V1 0.0000 0.2168 0.3634 (multiplicity 8)  3 Co 2.31-2.47, 2 V 2.56
V2 0.0000 0.5000 0.0000 (multiplicity 2)  10 V 2.56-2.81, 2 Co 2.82
Co1 0.0000 0.5000 0.2581 (multiplicity 4)  6 V 2.31-2.47